1.
Here is crystalline SrZn3Tc at its relaxed geometry from the Alexandria database. Energies are from PBE.

a = 5.624 Å, b = 5.624 Å, c = 5.624 Å
α = 90.00°, β = 90.00°, γ = 90.00°
Site moments in Bohr magnetons follow the coordinates.
Fractional coordinates of all 5 atoms:
1 Sr 0.000 0.000 0.000  -0.09
2 Zn 0.000 0.000 0.500  -0.02
3 Tc 0.500 0.500 0.500  3.64
4 Zn 0.500 0.000 0.000  -0.03
5 Zn 0.000 0.500 0.000  -0.04

Summary:
DFT formation energy in eV/atom: 1.695
Crystal system: cubic
DOS(E_F) in states/eV/atom: 1.076
Offset from the most stable computed form in meV/atom: 1591

---

2.
Here is crystalline Si2GeH at its relaxed geometry from the Alexandria database. Energies are from PBE.

a = 4.257 Å, b = 4.257 Å, c = 4.257 Å
α = 60.00°, β = 60.00°, γ = 60.00°
Fractional coordinates of all 4 atoms:
1 Si 0.250 0.250 0.250
2 H 0.000 0.000 0.000
3 Ge 0.500 0.500 0.500
4 Si 0.750 0.750 0.750

Summary:
Crystal system: cubic
DOS(E_F) in states/eV/atom: 0.317
Offset from the most stable computed form in meV/atom: 230

---

3.
Here is crystalline Ba2Zn4Si3Ag at its relaxed geometry from the Alexandria database. Energies are from PBE.

a = 4.497 Å, b = 4.497 Å, c = 10.631 Å
α = 90.00°, β = 90.00°, γ = 90.00°
Fractional coordinates of all 10 atoms:
1 Zn 0.000 0.000 0.000
2 Ba 0.500 0.000 0.244
3 Zn 0.500 0.000 0.632
4 Zn 0.000 0.500 0.368
5 Zn 0.500 0.500 0.000
6 Ba 0.000 0.500 0.756
7 Si 0.000 0.500 0.128
8 Ag 0.500 0.500 0.500
9 Si 0.500 0.000 0.872
10 Si 0.000 0.000 0.500

Summary:
Crystal system: tetragonal
DOS(E_F) in states/eV/atom: 0.403
Formation energy (no corrections) in meV/atom: -246

---

4.
Here is crystalline Tm2HfS5 at its relaxed geometry from the Alexandria database. Energies are from PBE.

a = 5.150 Å, b = 6.953 Å, c = 12.641 Å
α = 90.00°, β = 90.00°, γ = 111.74°
Fractional coordinates of all 16 atoms:
1 S 0.690 0.379 0.918
2 Tm 0.146 0.291 0.940
3 S 0.048 0.097 0.377
4 S 0.952 0.903 0.877
5 S 0.952 0.903 0.623
6 Tm 0.854 0.709 0.060
7 S 0.260 0.521 0.750
8 S 0.310 0.621 0.418
9 Tm 0.146 0.291 0.560
10 Tm 0.854 0.709 0.440
11 Hf 0.192 0.385 0.250
12 S 0.310 0.621 0.082
13 Hf 0.808 0.615 0.750
14 S 0.690 0.379 0.582
15 S 0.048 0.097 0.123
16 S 0.740 0.479 0.250

Summary:
Crystal system: orthorhombic
DOS(E_F) in states/eV/atom: 0.000
Formation energy (no corrections) in meV/atom: -1829

---

5.
Here is crystalline Hg3OsN at its relaxed geometry from the Alexandria database. Energies are from PBE.

a = 4.571 Å, b = 4.571 Å, c = 4.571 Å
α = 90.00°, β = 90.00°, γ = 90.00°
Site moments in Bohr magnetons follow the coordinates.
Fractional coordinates of all 5 atoms:
1 N 0.000 0.000 0.000  0.01
2 Hg 0.000 0.000 0.500  -0.05
3 Hg 0.000 0.500 0.000  -0.04
4 Os 0.500 0.500 0.500  1.38
5 Hg 0.500 0.000 0.000  0.01

Summary:
Crystal system: cubic
DOS(E_F) in states/eV/atom: 0.873
Offset from the most stable computed form in meV/atom: 0
Formation energy (no corrections) in meV/atom: 1651

---

6.
Here is crystalline La3YHo7 at its relaxed geometry from the Alexandria database. Energies are from PBE.

a = 5.544 Å, b = 10.190 Å, c = 8.932 Å
α = 106.43°, β = 128.32°, γ = 90.03°
Fractional coordinates of all 11 atoms:
1 Ho 0.143 0.290 0.643
2 La 0.286 0.004 0.786
3 Ho 0.688 0.365 0.189
4 Ho 0.857 0.710 0.357
5 Ho 0.906 0.829 0.905
6 La 0.714 0.996 0.214
7 Y 0.500 0.500 0.500
8 La 0.000 0.500 0.000
9 Ho 0.094 0.171 0.095
10 Ho 0.312 0.635 0.811
11 Ho 0.500 0.000 0.500

Summary:
DFT formation energy in eV/atom: 0.153
Crystal system: triclinic
DOS(E_F) in states/eV/atom: 1.476
Offset from the most stable computed form in meV/atom: 0

---

7.
Here is crystalline Nd2MnNi3P4 at its relaxed geometry from the Alexandria database. Energies are from PBE.

a = 4.059 Å, b = 4.059 Å, c = 9.335 Å
α = 90.00°, β = 90.00°, γ = 90.00°
Site moments in Bohr magnetons follow the coordinates.
Fractional coordinates of all 10 atoms:
1 P 0.000 0.500 0.366  -0.04
2 P 0.500 0.000 0.634  -0.04
3 P 0.500 0.500 0.000  -0.01
4 Ni 0.000 0.000 0.500  0.13
5 Nd 0.500 0.000 0.241  0.03
6 Nd 0.000 0.500 0.759  0.03
7 Ni 0.000 0.500 0.113  -0.03
8 P 0.000 0.000 0.000  0.00
9 Ni 0.500 0.000 0.887  -0.03
10 Mn 0.500 0.500 0.500  2.70

Summary:
DFT formation energy in eV/atom: -0.931
Crystal system: tetragonal
DOS(E_F) in states/eV/atom: 0.461

---

8.
Here is crystalline LuZrGaPd at its relaxed geometry from the Alexandria database. Energies are from PBE.

a = 4.840 Å, b = 4.840 Å, c = 4.840 Å
α = 60.00°, β = 60.00°, γ = 60.00°
Site moments in Bohr magnetons follow the coordinates.
Fractional coordinates of all 4 atoms:
1 Pd 0.500 0.500 0.500  -0.01
2 Lu 0.250 0.250 0.250  -0.03
3 Zr 0.750 0.750 0.750  -0.08
4 Ga 0.000 0.000 0.000  0.00

Summary:
DFT formation energy in eV/atom: -0.583
Crystal system: cubic
DOS(E_F) in states/eV/atom: 0.948